1.
The following is a GGA-PBEsol calculation of a relaxed Ag5As crystal, from Alexandria via LeMat-Bulk.

Cell: 2.8622 4.7046 7.6636 Å, 90.00 100.76 90.00°
Positions (direct):
Ag1 0.7778 0.5000 0.5556
Ag2 0.3352 0.0000 0.6703
Ag3 0.6687 0.0000 0.3375
Ag4 0.0005 0.0000 0.0010
Ag5 0.4425 0.5000 0.8851
As1 0.1086 0.5000 0.2172

Summary:
As for the energy relative to the elements: 62 meV per atom. As for the size of the total moment: 0.00 μB/f.u. The value obtained for the distance to the lowest polymorph of the same formula is 13 meV/atom. Its crystal system is orthorhombic. Its total energy is -0.26082 Ry/atom. As for the symmetry: Amm2.

=====

2.
The following is a GGA-PBEsol calculation of a relaxed Ag5As crystal, from Alexandria via LeMat-Bulk.

Cell: 2.8772 5.5028 6.8485 Å, 104.34 90.00 105.16°
Positions (direct):
Ag1 0.0534 0.1068 0.6086
Ag2 0.3911 0.7821 0.2798
Ag3 0.6667 0.3334 0.3323
Ag4 0.3310 0.6620 0.6655
Ag5 0.0006 0.0011 0.9984
As1 0.7239 0.4479 0.9487

Summary:
As for the energy relative to the elements: 53 meV per atom. As for the size of the total moment: 0.00 μB/f.u. The value obtained for the distance to the lowest polymorph of the same formula is 4 meV/atom. Its crystal system is monoclinic. Its total energy is -0.26147 Ry/atom. As for the symmetry: Cm.

=====

3.
The following is a GGA-PBEsol calculation of a relaxed AgAs3 crystal, from Alexandria via LeMat-Bulk.

Cell: 3.9617 6.4435 6.4435 Å, 111.90 90.00 90.00°
Positions (direct):
As1 0.2500 0.2971 0.1145
As2 0.7500 0.7029 0.8855
As3 0.2500 0.8855 0.7029
As4 0.2500 0.7615 0.2385
As5 0.7500 0.2385 0.7615
As6 0.7500 0.1145 0.2971
Ag1 0.2500 0.4067 0.5933
Ag2 0.7500 0.5933 0.4067

Summary:
As for the energy relative to the elements: 253 meV per atom. As for the size of the total moment: 0.00 μB/f.u. The value obtained for the distance to the lowest polymorph of the same formula is 133 meV/atom. Its crystal system is orthorhombic. Its total energy is -0.32371 Ry/atom. As for the symmetry: Cmcm.

=====

4.
The following is a GGA-PBEsol calculation of a relaxed Ag5As crystal, from Alexandria via LeMat-Bulk.

Cell: 2.8506 2.8506 12.5224 Å, 90.00 90.00 90.00°
Positions (direct):
Ag1 0.0000 0.0000 0.5000
Ag2 0.0000 0.0000 0.1718
Ag3 0.0000 0.0000 0.8282
Ag4 0.5000 0.5000 0.3363
Ag5 0.5000 0.5000 0.6637
As1 0.5000 0.5000 0.0000

Summary:
As for the energy relative to the elements: 60 meV per atom. As for the size of the total moment: 0.00 μB/f.u. The value obtained for the distance to the lowest polymorph of the same formula is 11 meV/atom. Its crystal system is tetragonal. Its total energy is -0.26096 Ry/atom. As for the symmetry: P4/mmm.

=====

5.
The following is a GGA-PBEsol calculation of a relaxed AgAs2Au crystal, from Alexandria via LeMat-Bulk.

Cell: 2.8032 2.8032 9.1042 Å, 90.00 90.00 93.67°
Positions (direct):
Au1 0.5000 0.5000 0.5000
As1 0.0000 0.0000 0.7547
As2 0.0000 0.0000 0.2453
Ag1 0.5000 0.5000 0.0000

Summary:
As for the energy relative to the elements: 224 meV per atom. As for the size of the total moment: 0.00 μB/f.u. The value obtained for the distance to the lowest polymorph of the same formula is 63 meV/atom. Its crystal system is orthorhombic. Its total energy is -0.30417 Ry/atom. As for the symmetry: Cmmm.

=====

6.
The following is a GGA-PBEsol calculation of a relaxed Ag2AsAu crystal, from Alexandria via LeMat-Bulk.

Cell: 2.8479 5.1118 5.1118 Å, 113.13 90.00 90.00°
Positions (direct):
Ag1 0.0000 0.5000 0.0000
Ag2 0.0000 0.0000 0.5000
As1 0.5000 0.0000 0.0000
Au1 0.5000 0.5000 0.5000

Summary:
As for the energy relative to the elements: 80 meV per atom. As for the size of the total moment: 0.00 μB/f.u. Its crystal system is orthorhombic. Its total energy is -0.28171 Ry/atom. As for the symmetry: Cmmm.

=====

Number 1: density of states at the Fermi level 1.734 states/eV/f.u.. Number 2: density of states at the Fermi level 1.641 states/eV/f.u.. Number 3: density of states at the Fermi level 1.482 states/eV/f.u.. Number 4: density of states at the Fermi level 1.648 states/eV/f.u.. Number 5: density of states at the Fermi level 0.999 states/eV/f.u.. Number 6: density of states at the Fermi level 1.583 states/eV/f.u..